# AgPt2, relaxed, DFT PBE
# Energy above the most stable polymorph in this dataset   2510.3 meV per atom
# Total magnetic moment   2.0 μB/cell
# Formation energy from the elements   2.5356 eV/atom
data_AgPt2
_chemical_formula_sum 'Ag2 Pt4'
_symmetry_space_group_name_H-M 'P 1'
_symmetry_Int_Tables_number 1
_symmetry_space_group_name_Hall 'P 1'
_cell_length_a 8.149
_cell_length_b 8.149
_cell_length_c 8.149
_cell_angle_alpha 60.06
_cell_angle_beta 60.06
_cell_angle_gamma 60.06
loop_
_atom_site_label
_atom_site_type_symbol
_atom_site_fract_x
_atom_site_fract_y
_atom_site_fract_z
Ag1 Ag 0.125 0.125 0.125
Ag2 Ag 0.875 0.875 0.875
Pt1 Pt 0.000 0.000 0.000
Pt2 Pt 0.000 0.000 0.500
Pt3 Pt 0.000 0.500 0.000
Pt4 Pt 0.500 0.000 0.000

***

Material: CuF2
Method: DFT, PBE
State: relaxed

```
data_CuF2
_chemical_formula_sum 'Cu2 F4'
_symmetry_space_group_name_H-M 'P 1'
_symmetry_Int_Tables_number 1
_symmetry_space_group_name_Hall 'P 1'
_cell_length_a 5.988
_cell_length_b 5.988
_cell_length_c 5.988
_cell_angle_alpha 60.00
_cell_angle_beta 60.00
_cell_angle_gamma 60.00
loop_
_atom_site_label
_atom_site_type_symbol
_atom_site_fract_x
_atom_site_fract_y
_atom_site_fract_z
Cu1 Cu 0.125 0.125 0.125
Cu2 Cu 0.875 0.875 0.875
F1 F 0.000 0.000 0.000
F2 F 0.000 0.000 0.500
F3 F 0.000 0.500 0.000
F4 F 0.500 0.000 0.000
```

***

Material: GaCuBrCl3
Method: DFT, PBE
State: relaxed

```
data_GaCuBrCl3
_chemical_formula_sum 'Ga1 Cu1 Br1 Cl3'
_symmetry_space_group_name_H-M 'P 1'
_symmetry_Int_Tables_number 1
_symmetry_space_group_name_Hall 'P 1'
_cell_length_a 5.616
_cell_length_b 5.616
_cell_length_c 6.475
_cell_angle_alpha 64.34
_cell_angle_beta 65.27
_cell_angle_gamma 89.96
loop_
_atom_site_label
_atom_site_type_symbol
_atom_site_fract_x
_atom_site_fract_y
_atom_site_fract_z
Ga1 Ga 0.000 0.000 0.000
Cu1 Cu 0.235 0.744 0.510
Br1 Br 0.630 0.627 0.254
Cl1 Cl 0.106 0.100 0.252
Cl2 Cl 0.342 0.883 0.759
Cl3 Cl 0.891 0.357 0.756
```

***

# SmAgGe, relaxed, DFT PBE
# Total magnetic moment   0.0 μB/cell
data_SmAgGe
_chemical_formula_sum 'Sm1 Ag1 Ge1'
_symmetry_space_group_name_H-M 'P 1'
_symmetry_Int_Tables_number 1
_symmetry_space_group_name_Hall 'P 1'
_cell_length_a 4.868
_cell_length_b 4.868
_cell_length_c 4.868
_cell_angle_alpha 60.00
_cell_angle_beta 60.00
_cell_angle_gamma 60.00
loop_
_atom_site_label
_atom_site_type_symbol
_atom_site_fract_x
_atom_site_fract_y
_atom_site_fract_z
Sm1 Sm 0.000 0.000 0.000
Ag1 Ag 0.750 0.750 0.750
Ge1 Ge 0.250 0.250 0.250

***

# InTeOsAuS2, relaxed, DFT PBE
# Total magnetic moment   0.0 μB/cell
data_InTeOsAuS2
_chemical_formula_sum 'In2 Te2 Os2 Au2 S4'
_symmetry_space_group_name_H-M 'P 1'
_symmetry_Int_Tables_number 1
_symmetry_space_group_name_Hall 'P 1'
_cell_length_a 7.558
_cell_length_b 7.558
_cell_length_c 10.115
_cell_angle_alpha 90.00
_cell_angle_beta 90.00
_cell_angle_gamma 151.88
loop_
_atom_site_label
_atom_site_type_symbol
_atom_site_fract_x
_atom_site_fract_y
_atom_site_fract_z
In1 In 0.207 0.793 0.750
In2 In 0.793 0.207 0.250
Te1 Te 0.452 0.548 0.250
Te2 Te 0.548 0.452 0.750
Os1 Os 0.500 0.500 0.000
Os2 Os 0.500 0.500 0.500
Au1 Au 0.149 0.851 0.250
Au2 Au 0.851 0.149 0.750
S1 S 0.107 0.893 0.019
S2 S 0.107 0.893 0.481
S3 S 0.893 0.107 0.519
S4 S 0.893 0.107 0.981

***

# Cu7Ag3, relaxed, DFT PBE
# Energy above the most stable polymorph in this dataset   45.6 meV per atom
# Formation energy from the elements   0.0903 eV/atom
data_Cu7Ag3
_chemical_formula_sum 'Cu7 Ag3'
_symmetry_space_group_name_H-M 'P 1'
_symmetry_Int_Tables_number 1
_symmetry_space_group_name_Hall 'P 1'
_cell_length_a 4.625
_cell_length_b 4.625
_cell_length_c 11.637
_cell_angle_alpha 100.43
_cell_angle_beta 100.43
_cell_angle_gamma 34.33
loop_
_atom_site_label
_atom_site_type_symbol
_atom_site_fract_x
_atom_site_fract_y
_atom_site_fract_z
Cu1 Cu 0.000 0.000 0.000
Cu2 Cu 0.200 0.200 0.395
Cu3 Cu 0.298 0.298 0.088
Cu4 Cu 0.397 0.397 0.815
Cu5 Cu 0.603 0.603 0.185
Cu6 Cu 0.702 0.702 0.912
Cu7 Cu 0.800 0.800 0.605
Ag1 Ag 0.102 0.102 0.715
Ag2 Ag 0.500 0.500 0.500
Ag3 Ag 0.898 0.898 0.285

***

# GdTmAl2, relaxed, DFT PBE
# Energy above the most stable polymorph in this dataset   0.0 meV per atom
# Total magnetic moment   0.0 μB/cell
data_GdTmAl2
_chemical_formula_sum 'Gd2 Tm2 Al4'
_symmetry_space_group_name_H-M 'P 1'
_symmetry_Int_Tables_number 1
_symmetry_space_group_name_Hall 'P 1'
_cell_length_a 6.237
_cell_length_b 6.237
_cell_length_c 5.096
_cell_angle_alpha 90.00
_cell_angle_beta 90.00
_cell_angle_gamma 110.92
loop_
_atom_site_label
_atom_site_type_symbol
_atom_site_fract_x
_atom_site_fract_y
_atom_site_fract_z
Gd1 Gd 0.130 0.870 0.750
Gd2 Gd 0.870 0.130 0.250
Tm1 Tm 0.362 0.638 0.250
Tm2 Tm 0.638 0.362 0.750
Al1 Al 0.150 0.376 0.750
Al2 Al 0.376 0.150 0.250
Al3 Al 0.624 0.850 0.750
Al4 Al 0.850 0.624 0.250

***

# NbGa2N, relaxed, DFT PBE
# Total magnetic moment   0.0 μB/cell
data_NbGa2N
_chemical_formula_sum 'Nb2 Ga4 N2'
_symmetry_space_group_name_H-M 'P 1'
_symmetry_Int_Tables_number 1
_symmetry_space_group_name_Hall 'P 1'
_cell_length_a 2.989
_cell_length_b 2.989
_cell_length_c 14.228
_cell_angle_alpha 90.00
_cell_angle_beta 90.00
_cell_angle_gamma 120.00
loop_
_atom_site_label
_atom_site_type_symbol
_atom_site_fract_x
_atom_site_fract_y
_atom_site_fract_z
Nb1 Nb 0.333 0.667 0.250
Nb2 Nb 0.667 0.333 0.750
Ga1 Ga 0.333 0.667 0.589
Ga2 Ga 0.333 0.667 0.911
Ga3 Ga 0.667 0.333 0.089
Ga4 Ga 0.667 0.333 0.411
N1 N 0.000 0.000 0.000
N2 N 0.000 0.000 0.500

***

# ZrFeB, relaxed, DFT PBE
# Energy above the most stable polymorph in this dataset   0.0 meV per atom
# Total magnetic moment   5.3 μB/cell
data_ZrFeB
_chemical_formula_sum 'Zr4 Fe4 B4'
_symmetry_space_group_name_H-M 'P 1'
_symmetry_Int_Tables_number 1
_symmetry_space_group_name_Hall 'P 1'
_cell_length_a 6.163
_cell_length_b 3.291
_cell_length_c 7.409
_cell_angle_alpha 90.00
_cell_angle_beta 90.00
_cell_angle_gamma 90.00
loop_
_atom_site_label
_atom_site_type_symbol
_atom_site_fract_x
_atom_site_fract_y
_atom_site_fract_z
Zr1 Zr 0.031 0.250 0.177
Zr2 Zr 0.469 0.750 0.677
Zr3 Zr 0.531 0.250 0.323
Zr4 Zr 0.969 0.750 0.823
Fe1 Fe 0.137 0.250 0.556
Fe2 Fe 0.363 0.750 0.056
Fe3 Fe 0.637 0.250 0.944
Fe4 Fe 0.863 0.750 0.444
B1 B 0.220 0.750 0.384
B2 B 0.280 0.250 0.884
B3 B 0.720 0.750 0.116
B4 B 0.780 0.250 0.616

***

# NbTlTe3Pd, relaxed, DFT PBE
# Energy above the most stable polymorph in this dataset   64.9 meV per atom
# Total magnetic moment   0.0 μB/cell
data_NbTlTe3Pd
_chemical_formula_sum 'Nb2 Tl2 Te6 Pd2'
_symmetry_space_group_name_H-M 'P 1'
_symmetry_Int_Tables_number 1
_symmetry_space_group_name_Hall 'P 1'
_cell_length_a 8.248
_cell_length_b 8.248
_cell_length_c 10.540
_cell_angle_alpha 90.00
_cell_angle_beta 90.00
_cell_angle_gamma 153.45
loop_
_atom_site_label
_atom_site_type_symbol
_atom_site_fract_x
_atom_site_fract_y
_atom_site_fract_z
Nb1 Nb 0.000 0.000 0.000
Nb2 Nb 0.000 0.000 0.500
Tl1 Tl 0.235 0.765 0.750
Tl2 Tl 0.765 0.235 0.250
Te1 Te 0.078 0.922 0.250
Te2 Te 0.370 0.630 0.041
Te3 Te 0.370 0.630 0.459
Te4 Te 0.630 0.370 0.541
Te5 Te 0.630 0.370 0.959
Te6 Te 0.922 0.078 0.750
Pd1 Pd 0.462 0.538 0.250
Pd2 Pd 0.538 0.462 0.750

***

# HfTaZn2, relaxed, DFT PBE
# Total magnetic moment   1.8 μB/cell
# Formation energy from the elements   0.4061 eV/atom
data_HfTaZn2
_chemical_formula_sum 'Hf1 Ta1 Zn2'
_symmetry_space_group_name_H-M 'P 1'
_symmetry_Int_Tables_number 1
_symmetry_space_group_name_Hall 'P 1'
_cell_length_a 4.661
_cell_length_b 4.661
_cell_length_c 4.661
_cell_angle_alpha 60.00
_cell_angle_beta 60.00
_cell_angle_gamma 60.00
loop_
_atom_site_label
_atom_site_type_symbol
_atom_site_fract_x
_atom_site_fract_y
_atom_site_fract_z
Hf1 Hf 0.000 0.000 0.000
Ta1 Ta 0.750 0.750 0.750
Zn1 Zn 0.250 0.250 0.250
Zn2 Zn 0.500 0.500 0.500

***

# ReN2, relaxed, DFT PBE
# Total magnetic moment   0.0 μB/cell
data_ReN2
_chemical_formula_sum 'Re4 N8'
_symmetry_space_group_name_H-M 'P 1'
_symmetry_Int_Tables_number 1
_symmetry_space_group_name_Hall 'P 1'
_cell_length_a 2.874
_cell_length_b 4.927
_cell_length_c 7.896
_cell_angle_alpha 90.00
_cell_angle_beta 90.00
_cell_angle_gamma 90.00
loop_
_atom_site_label
_atom_site_type_symbol
_atom_site_fract_x
_atom_site_fract_y
_atom_site_fract_z
Re1 Re 0.207 0.250 0.000
Re2 Re 0.207 0.250 0.500
Re3 Re 0.793 0.750 0.000
Re4 Re 0.793 0.750 0.500
N1 N 0.289 0.581 0.164
N2 N 0.289 0.581 0.336
N3 N 0.289 0.919 0.664
N4 N 0.289 0.919 0.836
N5 N 0.711 0.081 0.164
N6 N 0.711 0.081 0.336
N7 N 0.711 0.419 0.664
N8 N 0.711 0.419 0.836

***

no.,E (eV per atom)
1,-2.443
2,-3.741
3,-3.168
4,-4.069
5,-4.813
6,-3.359
7,-4.540
8,-6.070
9,-8.328
10,-4.853
11,-5.678
12,-9.397